The following is a DFT calculation (PBE+U) of a geometry-optimized FeGe2Pb3O9 structure.

The value obtained for the total energy is -5.944 eV/atom. Its magnetization is 5.7 μB/f.u.

Cell lengths 5.553, 5.553, 6.804 Å; angles 90.00, 90.00, 120.00 degrees
Last column: magnetic moment on the atom in μB.
Sites, in units of the cell vectors:
Pb: 0.333 0.667 0.667  0.01
O: 0.171 0.342 0.326  0.15
O: 0.342 0.171 0.674  0.15
Ge: 0.667 0.333 0.831  0.03
O: 0.658 0.829 0.326  0.15
O: 0.000 0.500 0.000  0.08
Pb: 0.667 0.333 0.333  0.01
O: 0.829 0.171 0.674  0.15
O: 0.500 0.000 0.000  0.08
Ge: 0.333 0.667 0.169  0.03
O: 0.500 0.500 0.000  0.08
Pb: 0.000 0.000 0.000  0.01
Fe: 0.000 0.000 0.500  4.33
O: 0.171 0.829 0.326  0.15
O: 0.829 0.658 0.674  0.15